A plane-wave DFT calculation with GGA-PBE was carried out for crystalline MgGa2Te4 at its relaxed geometry.

The structure belongs to space group P-42m (No. 111); the cell edges are 6.054, 6.054 and 6.345 Å and the angles 90.00°, 90.00° and 90.00°. Symmetry generates all atoms from Mg at (0.000, 0.000, 0.000), Ga at (0.000, 0.500, 0.500) and Te at (0.272, 0.272, 0.246).

Its energy is -23.5 eV for the cell shown. As for the crystal system: tetragonal.